1.
Below is crystalline SrTeN at its relaxed geometry, with properties calculated at the PBE level.

Results
SG = P2_1/c, No. 14
ΔE to the lowest computed polymorph = 0 meV per atom
Crystal system = monoclinic

Cell: 4.6581 9.3290 12.0381 Å, 103.75 90.00 90.00°
Sites, in units of the cell vectors:
Sr 0.7496 0.4153 0.6312
Sr 0.2496 0.0847 0.3688
Sr 0.2504 0.5847 0.3688
Sr 0.7504 0.9153 0.6312
Te 0.7501 0.3279 0.3466
Te 0.2501 0.1721 0.6534
Te 0.2499 0.6721 0.6534
Te 0.7499 0.8279 0.3466
N 0.3925 0.0143 0.9854
N 0.8925 0.4857 0.0146
N 0.6075 0.9857 0.0146
N 0.1075 0.5143 0.9854

2.
Below is crystalline Li3Tm2MnS6 at its relaxed geometry, with properties calculated at the PBE level.

Results
SG = C2/m, No. 12
Crystal system = monoclinic

Cell: 6.5124 6.5124 6.4660 Å, 99.36 99.36 120.32°
Sites, in units of the cell vectors:
Li 0.1626 0.8374 0.5000
Li 0.8374 0.1626 0.5000
Li 0.5000 0.5000 0.5000
Tm 0.3312 0.6688 0.0000
Tm 0.6688 0.3312 0.0000
Mn 0.0000 0.0000 0.0000
S 0.9158 0.5995 0.7513
S 0.7725 0.7725 0.2324
S 0.0842 0.4005 0.2487
S 0.5995 0.9158 0.7513
S 0.2275 0.2275 0.7676
S 0.4005 0.0842 0.2487

In the order shown, the computed E values come out to -5.43 -5.54 eV/atom.
In the order shown, the computed DOS(E_F) values come out to 0.000 3.061 states/eV/f.u..